# 1
Material: Nb2AlGa3
Method: DFT, PBE
State: relaxed

Structure (POSCAR):
```
Nb2AlGa3
1.0
6.188 -1.889 0.000
6.188 1.889 0.000
-6.046 0.000 9.004
Nb Al Ga
4 2 6
Direct
0.005 0.005 0.366
0.314 0.314 0.632
0.686 0.686 0.368
0.995 0.995 0.634
0.362 0.362 0.402
0.638 0.638 0.598
0.066 0.066 0.142
0.262 0.262 0.859
0.404 0.404 0.140
0.596 0.596 0.860
0.738 0.738 0.141
0.934 0.934 0.858
```

Calculated values
**Magnetic moment**: 0.00 μB/cell
**Calculated formation energy**: -0.226 eV/atom

---

# 2
Material: TaCd2Ni
Method: DFT, PBE
State: relaxed

Structure (POSCAR):
```
TaCd2Ni
1.0
5.617 0.000 0.000
0.000 9.127 0.000
0.000 0.000 2.782
Ta Cd Ni
2 4 2
Direct
0.000 0.000 0.000
0.500 0.500 0.000
0.250 0.250 0.500
0.250 0.750 0.500
0.750 0.250 0.500
0.750 0.750 0.500
0.000 0.500 0.000
0.500 0.000 0.000
```

Calculated values
**Magnetic moment**: 0.00 μB/cell
**Calculated formation energy**: 0.381 eV/atom

---

# 3
Material: In2SnTe2
Method: DFT, PBE
State: relaxed

Structure (POSCAR):
```
In2SnTe2
1.0
4.278 0.000 0.000
0.000 4.278 0.000
0.000 0.000 17.051
In Sn Te
4 2 4
Direct
0.000 0.500 0.250
0.000 0.500 0.750
0.500 0.000 0.250
0.500 0.000 0.750
0.000 0.000 0.000
0.500 0.500 0.500
0.000 0.000 0.405
0.000 0.000 0.595
0.500 0.500 0.095
0.500 0.500 0.905
```

Calculated values
**Formation energy from raw total energies**: -0.018 eV per atom
**Magnetic moment**: 0.00 μB/cell

---

# 4
Material: Na3Cd2Ag7
Method: DFT, PBE
State: relaxed

Structure (POSCAR):
```
Na3Cd2Ag7
1.0
2.850 1.646 9.408
-2.850 1.646 9.408
0.000 -3.291 9.408
Na Cd Ag
3 2 7
Direct
0.000 0.000 0.000
0.143 0.143 0.143
0.857 0.857 0.857
0.333 0.333 0.333
0.667 0.667 0.667
0.083 0.586 0.586
0.414 0.414 0.917
0.414 0.917 0.414
0.500 0.500 0.500
0.586 0.083 0.586
0.586 0.586 0.083
0.917 0.414 0.414
```

Calculated values
**Magnetic moment**: 0.00 μB/cell
**Calculated formation energy**: -0.065 eV/atom

---

# 5
Material: Tb2ZnGa3Pd4
Method: DFT, PBE
State: relaxed

Structure (POSCAR):
```
Tb2ZnGa3Pd4
1.0
4.044 0.000 0.000
0.000 4.044 0.000
0.000 0.000 11.392
Tb Zn Ga Pd
2 1 3 4
Direct
0.000 0.500 0.244
0.500 0.000 0.756
0.500 0.500 0.000
0.000 0.000 0.000
0.000 0.500 0.634
0.500 0.000 0.366
0.000 0.000 0.500
0.000 0.500 0.854
0.500 0.000 0.146
0.500 0.500 0.500
```

Calculated values
**Magnetic moment**: 0.00 μB/cell
**Calculated formation energy**: -0.753 eV/atom

---

# 6
Material: CsLaInSi2
Method: DFT, PBE
State: relaxed

Structure (POSCAR):
```
CsLaInSi2
1.0
5.663 0.000 0.000
0.000 5.663 0.000
0.000 0.000 5.762
Cs La In Si
1 1 1 2
Direct
0.000 0.000 0.000
0.000 0.000 0.500
0.500 0.500 0.500
0.000 0.500 0.000
0.500 0.000 0.000
```

Calculated values
**Formation energy from raw total energies**: 1.540 eV per atom
**Magnetic moment**: 0.00 μB/cell

---

# 7
Material: Tb8Dy3Pu2
Method: DFT, PBE
State: relaxed

Structure (POSCAR):
```
Tb8Dy3Pu2
1.0
3.748 -9.948 0.000
3.748 9.948 0.000
0.000 0.000 5.653
Tb Dy Pu
8 3 2
Direct
0.138 0.862 0.000
0.174 0.397 0.500
0.323 0.677 0.000
0.397 0.174 0.500
0.603 0.826 0.500
0.677 0.323 0.000
0.826 0.603 0.500
0.862 0.138 0.000
0.000 0.000 0.500
0.279 0.279 0.000
0.721 0.721 0.000
0.241 0.759 0.500
0.759 0.241 0.500
```

Calculated values
**Magnetic moment**: 13.88 μB/cell
**Calculated formation energy**: 0.286 eV/atom

---

# 8
Material: KRe2Pb
Method: DFT, PBE
State: relaxed

Structure (POSCAR):
```
KRe2Pb
1.0
3.762 0.000 0.000
0.000 3.762 0.000
0.000 0.000 7.391
K Re Pb
1 2 1
Direct
0.000 0.000 0.000
0.500 0.500 0.346
0.500 0.500 0.654
0.000 0.000 0.500
```

Calculated values
**Magnetic moment**: 0.49 μB/cell
**Calculated formation energy**: 1.553 eV/atom

---

# 9
Material: PmNpTe2
Method: DFT, PBE
State: relaxed

Structure (POSCAR):
```
PmNpTe2
1.0
3.802 0.000 0.000
0.000 3.802 0.000
0.000 0.000 7.699
Pm Np Te
1 1 2
Direct
0.000 0.000 0.000
0.000 0.000 0.500
0.500 0.500 0.253
0.500 0.500 0.747
```

Calculated values
**Formation energy from raw total energies**: -0.900 eV per atom
**Magnetic moment**: 5.33 μB/cell

---

# 10
Material: TmLuV4
Method: DFT, PBE
State: relaxed

Structure (POSCAR):
```
TmLuV4
1.0
0.000 3.818 3.818
3.818 0.000 3.818
3.818 3.818 0.000
Tm Lu V
1 1 4
Direct
0.000 0.000 0.000
0.250 0.250 0.250
0.126 0.625 0.625
0.625 0.126 0.625
0.625 0.625 0.126
0.625 0.625 0.625
```

Calculated values
**Magnetic moment**: 5.28 μB/cell
**Calculated formation energy**: 0.314 eV/atom

---

# 11
Material: TbPm3Al8
Method: DFT, PBE
State: relaxed

Structure (POSCAR):
```
TbPm3Al8
1.0
2.816 1.626 9.230
-2.816 1.626 9.230
0.000 -3.252 9.230
Tb Pm Al
1 3 8
Direct
0.000 0.000 0.000
0.124 0.124 0.124
0.500 0.500 0.500
0.625 0.625 0.625
0.061 0.562 0.562
0.062 0.062 0.563
0.062 0.563 0.062
0.312 0.312 0.312
0.562 0.061 0.562
0.562 0.562 0.061
0.563 0.062 0.062
0.812 0.812 0.812
```

Calculated values
**Magnetic moment**: 0.00 μB/cell
**Calculated formation energy**: -0.511 eV/atom

---

# 12
Material: Ce2CuP3Pd4
Method: DFT, PBE
State: relaxed

Structure (POSCAR):
```
Ce2CuP3Pd4
1.0
4.205 0.000 0.000
0.000 4.205 0.000
0.000 0.000 9.895
Ce Cu P Pd
2 1 3 4
Direct
0.000 0.500 0.250
0.500 0.000 0.750
0.000 0.000 0.500
0.000 0.500 0.864
0.500 0.000 0.136
0.500 0.500 0.500
0.000 0.000 0.000
0.000 0.500 0.627
0.500 0.000 0.373
0.500 0.500 0.000
```

Calculated values
**Magnetic moment**: 0.93 μB/cell
**Calculated formation energy**: -0.845 eV/atom

---

# 13
Material: TaZnCu2Bi
Method: DFT, PBE
State: relaxed

Structure (POSCAR):
```
TaZnCu2Bi
1.0
4.898 0.000 0.000
0.000 4.898 0.000
0.000 0.000 5.436
Ta Zn Cu Bi
1 1 2 1
Direct
0.000 0.000 0.000
0.500 0.500 0.500
0.000 0.500 0.000
0.500 0.000 0.000
0.000 0.000 0.500
```

Calculated values
**Magnetic moment**: 0.00 μB/cell
**Calculated formation energy**: 1.185 eV/atom

---

# 14
Material: PuUTi
Method: DFT, PBE
State: relaxed

Structure (POSCAR):
```
PuUTi
1.0
4.350 0.000 0.000
0.000 6.464 0.000
0.000 0.000 7.769
Pu U Ti
4 4 4
Direct
0.000 0.179 0.000
0.000 0.821 0.000
0.500 0.321 0.500
0.500 0.679 0.500
0.000 0.295 0.692
0.000 0.705 0.692
0.500 0.205 0.192
0.500 0.795 0.192
0.000 0.000 0.400
0.000 0.500 0.289
0.500 0.000 0.789
0.500 0.500 0.900
```

Calculated values
**Magnetic moment**: 0.00 μB/cell
**Calculated formation energy**: 0.092 eV/atom

---

# 15
Material: CdTcP2
Method: DFT, PBE
State: relaxed

Structure (POSCAR):
```
CdTcP2
1.0
7.857 0.000 0.000
0.000 3.192 0.000
-0.687 0.000 5.369
Cd Tc P
2 2 4
Direct
0.000 0.000 0.000
0.500 0.500 0.000
0.000 0.500 0.500
0.500 0.000 0.500
0.222 0.000 0.673
0.278 0.500 0.327
0.722 0.500 0.673
0.778 0.000 0.327
```

Calculated values
**Magnetic moment**: 0.00 μB/cell
**Calculated formation energy**: 0.046 eV/atom

---

# 16
Material: AcCe3Au3
Method: DFT, PBE
State: relaxed

Structure (POSCAR):
```
AcCe3Au3
1.0
8.065 0.000 0.000
0.000 8.065 0.000
0.000 0.000 8.065
Ac Ce Au
2 6 6
Direct
0.000 0.000 0.000
0.500 0.500 0.500
0.000 0.250 0.500
0.000 0.750 0.500
0.250 0.500 0.000
0.500 0.000 0.250
0.500 0.000 0.750
0.750 0.500 0.000
0.000 0.500 0.250
0.000 0.500 0.750
0.250 0.000 0.500
0.500 0.250 0.000
0.500 0.750 0.000
0.750 0.000 0.500
```

Calculated values
**Magnetic moment**: 6.00 μB/cell
**Calculated formation energy**: -0.064 eV/atom

---

# 17
Material: Nb2ZnN
Method: DFT, PBE
State: relaxed

Structure (POSCAR):
```
Nb2ZnN
1.0
3.110 0.000 0.000
-1.555 2.694 0.000
0.000 0.000 20.724
Nb Zn N
6 3 3
Direct
0.000 0.000 0.000
0.000 0.000 0.215
0.333 0.667 0.667
0.333 0.667 0.882
0.667 0.333 0.333
0.667 0.333 0.548
0.000 0.000 0.775
0.333 0.667 0.441
0.667 0.333 0.108
0.000 0.000 0.608
0.333 0.667 0.274
0.667 0.333 0.941
```

Calculated values
**Formation energy from raw total energies**: -0.534 eV per atom
**Magnetic moment**: 0.00 μB/cell

---

# 18
Material: PmNd8Dy5
Method: DFT, PBE
State: relaxed

Structure (POSCAR):
```
PmNd8Dy5
1.0
-4.844 4.844 5.192
4.844 -4.844 5.192
4.844 4.844 -5.192
Pm Nd Dy
1 8 5
Direct
0.000 0.000 0.000
0.091 0.324 0.408
0.280 0.176 0.757
0.318 0.909 0.233
0.419 0.523 0.243
0.477 0.720 0.896
0.676 0.085 0.767
0.824 0.581 0.104
0.915 0.682 0.592
0.027 0.432 0.813
0.250 0.750 0.500
0.568 0.382 0.596
0.618 0.214 0.187
0.786 0.973 0.404
```

Calculated values
**Magnetic moment**: 0.00 μB/cell
**Calculated formation energy**: 0.239 eV/atom

---

# 19
Material: MgCrPd
Method: DFT, PBE
State: relaxed

Structure (POSCAR):
```
MgCrPd
1.0
9.881 0.000 0.000
0.000 3.082 0.000
-2.500 0.000 6.335
Mg Cr Pd
4 4 4
Direct
0.000 0.000 0.000
0.193 0.500 0.359
0.500 0.500 0.000
0.693 0.000 0.359
0.021 0.000 0.545
0.170 0.500 0.811
0.521 0.500 0.545
0.670 0.000 0.811
0.345 0.000 0.178
0.346 0.000 0.680
0.845 0.500 0.178
0.846 0.500 0.680
```

Calculated values
**Magnetic moment**: 0.02 μB/cell
**Calculated formation energy**: -0.103 eV/atom

---

# 20
Material: Mg2Al6Ir
Method: DFT, PBE
State: relaxed

Structure (POSCAR):
```
Mg2Al6Ir
1.0
4.664 -2.692 0.000
4.664 2.692 0.000
-0.017 0.000 6.374
Mg Al Ir
2 6 1
Direct
0.167 0.167 0.077
0.833 0.833 0.923
0.166 0.668 0.324
0.332 0.332 0.675
0.332 0.834 0.676
0.668 0.166 0.324
0.668 0.668 0.325
0.834 0.332 0.676
0.500 0.500 0.000
```

Calculated values
**Magnetic moment**: 0.00 μB/cell
**Calculated formation energy**: -0.231 eV/atom